1.
PuClF2 | Alexandria | PBE | relaxed; distance to the lowest polymorph of the same formula = 34 meV per atom; E_form (uncorrected) = -291 kJ/mol of atoms; space-group type = R3m (160)
1.0
4.095 0.000 0.000
2.048 3.547 0.000
2.048 1.182 5.009
Cl F Pu
1 2 1
Direct
0.493 0.493 0.522
0.299 0.299 0.102
0.028 0.028 0.915
0.679 0.679 0.962

***

2.
Ho3Ga2 | Alexandria | PBE | relaxed; calculated formation energy = -0.54 eV per atom; space-group type = I4/mcm (140)
1.0
11.037 -0.014 0.000
-1.078 10.984 0.000
-4.980 -5.485 8.181
Ho Ga
24 16
Direct
0.646 0.146 0.500
0.838 0.568 0.135
0.432 0.567 0.270
0.162 0.432 0.865
0.567 0.297 0.135
0.331 0.831 0.161
0.203 0.933 0.865
0.338 0.203 0.270
0.297 0.162 0.730
0.703 0.838 0.270
0.854 0.354 0.500
0.669 0.169 0.839
0.433 0.703 0.865
0.146 0.646 0.500
0.568 0.433 0.730
0.169 0.331 0.500
0.831 0.669 0.500
0.933 0.068 0.730
0.067 0.932 0.270
0.932 0.662 0.865
0.662 0.797 0.730
0.797 0.067 0.135
0.354 0.854 0.500
0.068 0.338 0.135
0.121 0.621 0.145
0.621 0.476 0.500
0.382 0.118 0.500
0.379 0.524 0.500
0.879 0.379 0.855
0.118 0.618 0.736
0.618 0.882 0.500
0.000 0.000 0.000
0.882 0.382 0.264
0.750 0.750 0.000
0.524 0.024 0.145
0.500 0.500 0.000
0.024 0.879 0.500
0.476 0.976 0.855
0.976 0.121 0.500
0.250 0.250 0.000

***

3.
RbLaZnS | Alexandria | PBE | relaxed; distance to the lowest polymorph of the same formula = 17 meV per atom; E_form (uncorrected) = -79 kJ/mol of atoms; space-group type = P1 (1)
1.0
-3.152 2.209 -0.610
-0.294 -1.417 -3.619
-4.689 -5.845 2.538
Rb S Zn La
1 1 1 1
Direct
0.603 0.932 0.424
0.088 0.410 0.093
0.094 0.421 0.722
0.590 0.913 0.951

***

no.,energy (eV per atom)
1,-7.993
2,-4.502
3,-3.638